Record 1
First-principles (GGA-PBE) data for an optimized crystal structure of BaYCdGa, as listed in Alexandria.

```
data_BaYCdGa
_space_group_name_H-M_alt 'F -4 3 m'
_space_group_IT_number 216
_space_group_name_Hall 'F -4 2 3'
_cell_length_a 7.849
_cell_length_b 7.849
_cell_length_c 7.849
_cell_angle_alpha 90.00
_cell_angle_beta 90.00
_cell_angle_gamma 90.00
loop_
_atom_site_label
_atom_site_type_symbol
_atom_site_fract_x
_atom_site_fract_y
_atom_site_fract_z
Ba1 Ba 0.000 0.000 0.000
Y1 Y 0.000 0.000 0.500
Cd1 Cd 0.250 0.250 0.750
Ga1 Ga 0.250 0.250 0.250
```

Results
The density of states at the Fermi level is 0.8918 states/eV per atom. As for the total energy: -53.26 eV for the cell shown.

***

Record 2
First-principles (GGA-PBE) data for an optimized crystal structure of CsAsBr2, as listed in Alexandria.

```
data_CsAsBr2
_space_group_name_H-M_alt 'F m -3 m'
_space_group_IT_number 225
_space_group_name_Hall '-F 4 2 3'
_cell_length_a 8.231
_cell_length_b 8.231
_cell_length_c 8.231
_cell_angle_alpha 90.00
_cell_angle_beta 90.00
_cell_angle_gamma 90.00
loop_
_atom_site_label
_atom_site_type_symbol
_atom_site_fract_x
_atom_site_fract_y
_atom_site_fract_z
Cs1 Cs 0.000 0.000 0.000
As1 As 0.000 0.000 0.500
Br1 Br 0.250 0.250 0.250
```

Results
The density of states at the Fermi level is 2.0547 states/eV per atom. As for the total energy: -39.55 eV for the cell shown.

***

Record 3
First-principles (GGA-PBE) data for an optimized crystal structure of RbCeTl2I6, as listed in Alexandria.

```
data_RbCeTl2I6
_space_group_name_H-M_alt 'P 1 21/c 1'
_space_group_IT_number 14
_cell_length_a 8.389
_cell_length_b 9.579
_cell_length_c 14.519
_cell_angle_alpha 90.00
_cell_angle_beta 121.74
_cell_angle_gamma 90.00
loop_
_space_group_symop_operation_xyz
'x,y,z'
'-x,-y,-z'
'-x,y+1/2,-z+1/2'
'x,-y+1/2,z+1/2'
loop_
_atom_site_label
_atom_site_type_symbol
_atom_site_fract_x
_atom_site_fract_y
_atom_site_fract_z
Rb1 Rb 0.000 0.000 0.000
Ce1 Ce 0.500 0.000 0.500
Tl1 Tl 0.192 0.077 0.712
I1 I 0.144 0.164 0.461
I2 I 0.242 0.733 0.399
I3 I 0.419 0.089 0.270
```

Results
The density of states at the Fermi level is 0.8395 states/eV per atom. As for the total energy: -63.98 eV for the cell shown.

***

Record 4
First-principles (GGA-PBE) data for an optimized crystal structure of NiTe2IN, as listed in Alexandria.

```
data_NiTe2IN
_space_group_name_H-M_alt 'P 4/m m m'
_space_group_IT_number 123
_space_group_name_Hall '-P 4 2'
_cell_length_a 4.776
_cell_length_b 4.776
_cell_length_c 4.751
_cell_angle_alpha 90.00
_cell_angle_beta 90.00
_cell_angle_gamma 90.00
loop_
_atom_site_label
_atom_site_type_symbol
_atom_site_fract_x
_atom_site_fract_y
_atom_site_fract_z
Ni1 Ni 0.000 0.000 0.000
Te1 Te 0.000 0.500 0.500
I1 I 0.500 0.500 0.000
N1 N 0.500 0.500 0.500
```

Results
The density of states at the Fermi level is 1.6148 states/eV per atom. As for the total energy: -16.03 eV for the cell shown.